1.
A PBEsol-optimized structure of Mg3ZrHg. Source: Alexandria, functional SCAN.

Properties
* Fermi-level density of states: 0.677 states/eV/atom
* energy of formation from the pure elements: 0.341 eV per atom
* total DFT energy (no corrections): -22.417 eV per atom
* SG: No. 221
* volume: 25.564 Å³ per atom

Unit cell a=5.0373 b=5.0373 c=5.0373 alpha=90.00 beta=90.00 gamma=90.00
Atoms (fractional coordinates):
Mg 0.0000 0.0000 0.5000
Mg 0.0000 0.5000 0.0000
Mg 0.5000 0.0000 0.0000
Zr 0.5000 0.5000 0.5000
Hg 0.0000 0.0000 0.0000

2.
A PBEsol-optimized structure of AlCoHg. Source: Alexandria, functional SCAN.

Properties
* Fermi-level density of states: 0.462 states/eV/atom
* energy of formation from the pure elements: 0.228 eV per atom
* total DFT energy (no corrections): -30.846 eV per atom
* SG: No. 187
* volume: 14.869 Å³ per atom

Unit cell a=4.1109 b=4.1109 c=3.0479 alpha=90.00 beta=90.00 gamma=120.00
Atoms (fractional coordinates):
Al 0.0000 0.0000 0.0000
Co 0.6667 0.3333 0.0000
Hg 0.3333 0.6667 0.5000

3.
A PBEsol-optimized structure of CoNi2As. Source: Alexandria, functional SCAN.

Properties
* Fermi-level density of states: 1.215 states/eV/atom
* energy of formation from the pure elements: -0.009 eV per atom
* total DFT energy (no corrections): -17.470 eV per atom
* SG: No. 119
* volume: 10.896 Å³ per atom

Unit cell a=3.6165 b=3.6165 c=6.6647 alpha=90.00 beta=90.00 gamma=90.00
Atoms (fractional coordinates):
Co 0.0000 0.0000 0.0000
Co 0.5000 0.5000 0.5000
Ni 0.0000 0.0000 0.5000
Ni 0.0000 0.5000 0.2500
Ni 0.5000 0.0000 0.7500
Ni 0.5000 0.5000 0.0000
As 0.0000 0.5000 0.7500
As 0.5000 0.0000 0.2500

4.
A PBEsol-optimized structure of LaBe2P. Source: Alexandria, functional SCAN.

Properties
* Fermi-level density of states: 0.287 states/eV/atom
* energy of formation from the pure elements: -0.366 eV per atom
* total DFT energy (no corrections): -15.919 eV per atom
* SG: No. 99
* volume: 17.157 Å³ per atom

Unit cell a=3.5410 b=3.5410 c=5.4735 alpha=90.00 beta=90.00 gamma=90.00
Atoms (fractional coordinates):
La 0.0000 0.0000 0.0000
Be 0.0000 0.5000 0.4994
Be 0.5000 0.0000 0.4994
P 0.5000 0.5000 0.2650

5.
A PBEsol-optimized structure of CaFeTc2. Source: Alexandria, functional SCAN.

Properties
* Fermi-level density of states: 0.975 states/eV/atom
* energy of formation from the pure elements: 0.611 eV per atom
* total DFT energy (no corrections): -23.867 eV per atom
* energy above the lowest structure with this stoichiometry: 1.05 eV/f.u.
* SG: No. 10
* volume: 15.135 Å³ per atom

Unit cell a=2.6200 b=4.5545 c=5.1338 alpha=90.00 beta=98.81 gamma=90.00
Atoms (fractional coordinates):
Ca 0.0000 0.0000 0.0000
Fe 0.5000 0.0000 0.5000
Tc 0.2801 0.5000 0.7374
Tc 0.7199 0.5000 0.2626

6.
A PBEsol-optimized structure of ScIrRh2Pb. Source: Alexandria, functional SCAN.

Properties
* Fermi-level density of states: 0.796 states/eV/atom
* energy of formation from the pure elements: 1.641 eV per atom
* total DFT energy (no corrections): -44.091 eV per atom
* SG: No. 123
* volume: 23.165 Å³ per atom

Unit cell a=4.7534 b=4.7534 c=5.1262 alpha=90.00 beta=90.00 gamma=90.00
Atoms (fractional coordinates):
Sc 0.0000 0.0000 0.0000
Ir 0.5000 0.5000 0.0000
Rh 0.0000 0.5000 0.5000
Rh 0.5000 0.0000 0.5000
Pb 0.0000 0.0000 0.5000

7.
A PBEsol-optimized structure of Cd3Ag. Source: Alexandria, functional SCAN.

Properties
* Fermi-level density of states: 0.298 states/eV/atom
* energy of formation from the pure elements: -0.009 eV per atom
* total DFT energy (no corrections): -30.662 eV per atom
* SG: No. 221
* volume: 19.036 Å³ per atom

Unit cell a=4.2385 b=4.2385 c=4.2385 alpha=90.00 beta=90.00 gamma=90.00
Atoms (fractional coordinates):
Cd 0.0000 0.0000 0.5000
Cd 0.0000 0.5000 0.0000
Cd 0.5000 0.0000 0.0000
Ag 0.5000 0.5000 0.5000

8.
A PBEsol-optimized structure of Be2ReMo. Source: Alexandria, functional SCAN.

Properties
* Fermi-level density of states: 0.505 states/eV/atom
* energy of formation from the pure elements: 0.012 eV per atom
* total DFT energy (no corrections): -28.660 eV per atom
* energy above the lowest structure with this stoichiometry: 1.09 eV/f.u.
* SG: No. 8
* volume: 11.602 Å³ per atom

Unit cell a=8.9226 b=2.5471 c=4.2860 alpha=90.00 beta=107.67 gamma=90.00
Atoms (fractional coordinates):
Be 0.0000 0.0000 0.0000
Be 0.1949 0.5000 0.2999
Be 0.5000 0.5000 0.0000
Be 0.6949 0.0000 0.2999
Re 0.4456 0.0000 0.4626
Re 0.9456 0.5000 0.4626
Mo 0.2454 0.0000 0.8313
Mo 0.7454 0.5000 0.8313

9.
A PBEsol-optimized structure of HfW2. Source: Alexandria, functional SCAN.

Properties
* Fermi-level density of states: 0.445 states/eV/atom
* energy of formation from the pure elements: -0.165 eV per atom
* total DFT energy (no corrections): -67.515 eV per atom
* SG: No. 227
* volume: 17.836 Å³ per atom

Unit cell a=5.3291 b=5.3291 c=5.3291 alpha=60.00 beta=60.00 gamma=60.00
Atoms (fractional coordinates):
Hf 0.1250 0.1250 0.1250
Hf 0.8750 0.8750 0.8750
W 0.0000 0.5000 0.5000
W 0.5000 0.0000 0.5000
W 0.5000 0.5000 0.0000
W 0.5000 0.5000 0.5000

10.
A PBEsol-optimized structure of Na2LiSb. Source: Alexandria, functional SCAN.

Properties
* Fermi-level density of states: 0.357 states/eV/atom
* total DFT energy (no corrections): -12.177 eV per atom
* uncorrected formation energy: -0.157 eV per atom
* SG: No. 122
* volume: 26.281 Å³ per atom

Unit cell a=4.4442 b=4.4442 c=21.2898 alpha=90.00 beta=90.00 gamma=90.00
Atoms (fractional coordinates):
Na 0.2379 0.2500 0.1250
Na 0.2500 0.7379 0.3750
Na 0.2500 0.7621 0.8750
Na 0.2621 0.2500 0.6250
Na 0.7379 0.7500 0.6250
Na 0.7500 0.2379 0.8750
Na 0.7500 0.2621 0.3750
Na 0.7621 0.7500 0.1250
Li 0.0000 0.0000 0.5000
Li 0.0000 0.5000 0.7500
Li 0.5000 0.0000 0.2500
Li 0.5000 0.5000 0.0000
Sb 0.0000 0.0000 0.0000
Sb 0.0000 0.5000 0.2500
Sb 0.5000 0.0000 0.7500
Sb 0.5000 0.5000 0.5000

11.
A PBEsol-optimized structure of TaFeMo2. Source: Alexandria, functional SCAN.

Properties
* Fermi-level density of states: 0.591 states/eV/atom
* energy of formation from the pure elements: 0.015 eV per atom
* total DFT energy (no corrections): -38.606 eV per atom
* energy above the lowest structure with this stoichiometry: 0.13 eV/f.u.
* SG: No. 35
* volume: 14.738 Å³ per atom

Unit cell a=3.1682 b=4.3627 c=8.5305 alpha=90.00 beta=90.00 gamma=90.00
Atoms (fractional coordinates):
Ta 0.0000 0.0000 0.0000
Ta 0.5000 0.5000 0.0000
Fe 0.0000 0.5000 0.2412
Fe 0.5000 0.0000 0.2412
Mo 0.0000 0.0000 0.4710
Mo 0.0000 0.5000 0.7294
Mo 0.5000 0.0000 0.7294
Mo 0.5000 0.5000 0.4710

12.
A PBEsol-optimized structure of Cu2Ir. Source: Alexandria, functional SCAN.

Properties
* Fermi-level density of states: 0.491 states/eV/atom
* energy of formation from the pure elements: 0.039 eV per atom
* total DFT energy (no corrections): -33.794 eV per atom
* energy above the lowest structure with this stoichiometry: 0.00 eV/f.u.
* SG: No. 12
* volume: 12.412 Å³ per atom

Unit cell a=8.6664 b=2.6814 c=7.0463 alpha=90.00 beta=114.55 gamma=90.00
Atoms (fractional coordinates):
Cu 0.0063 0.0000 0.2720
Cu 0.1700 0.5000 0.5870
Cu 0.3300 0.0000 0.4130
Cu 0.4937 0.5000 0.7280
Cu 0.5063 0.5000 0.2720
Cu 0.6700 0.0000 0.5870
Cu 0.8300 0.5000 0.4130
Cu 0.9937 0.0000 0.7280
Ir 0.1614 0.5000 0.0738
Ir 0.3386 0.0000 0.9262
Ir 0.6614 0.0000 0.0738
Ir 0.8386 0.5000 0.9262

13.
A PBEsol-optimized structure of LiCo2O4. Source: Alexandria, functional SCAN.

Properties
* Fermi-level density of states: 0.558 states/eV/atom
* total DFT energy (no corrections): -10.390 eV per atom
* uncorrected formation energy: -1.544 eV per atom
* energy above the lowest structure with this stoichiometry: 0.50 eV/f.u.
* SG: No. 74
* volume: 8.802 Å³ per atom

Unit cell a=5.5802 b=5.5802 c=5.5802 alpha=119.88 beta=119.73 gamma=90.34
Atoms (fractional coordinates):
Li 0.5000 0.0000 0.0000
Li 0.5000 0.5000 0.5000
Co 0.0000 0.0000 0.0000
Co 0.0000 0.0000 0.5000
Co 0.0000 0.5000 0.0000
Co 0.5000 0.0000 0.5000
O 0.2144 0.2374 0.9770
O 0.2377 0.2078 0.4702
O 0.2377 0.7675 0.0298
O 0.2396 0.7626 0.4770
O 0.7604 0.2374 0.5230
O 0.7623 0.2325 0.9702
O 0.7623 0.7922 0.5298
O 0.7856 0.7626 0.0230

14.
A PBEsol-optimized structure of GaOs2F2. Source: Alexandria, functional SCAN.

Properties
* Fermi-level density of states: 0.428 states/eV/atom
* total DFT energy (no corrections): -33.653 eV per atom
* uncorrected formation energy: -0.215 eV per atom
* SG: No. 139
* volume: 12.516 Å³ per atom

Unit cell a=3.3180 b=3.3180 c=11.3688 alpha=90.00 beta=90.00 gamma=90.00
Atoms (fractional coordinates):
Ga 0.0000 0.0000 0.0000
Ga 0.5000 0.5000 0.5000
Os 0.0000 0.0000 0.3985
Os 0.0000 0.0000 0.6015
Os 0.5000 0.5000 0.1015
Os 0.5000 0.5000 0.8985
F 0.0000 0.5000 0.2500
F 0.0000 0.5000 0.7500
F 0.5000 0.0000 0.2500
F 0.5000 0.0000 0.7500